(1)
VASP calculation (GGA-PBE) on a relaxed structure of NaCuAsAu.

Its total energy is -3.22 eV/atom. Its polymorph energy (0 for the lowest one) is 0.000 eV/f.u. For the calculated density, the calculation gives 8.50 Mg/m³. The space group is F-43m (216).

a = 4.626 Å, b = 4.626 Å, c = 4.626 Å
α = 60.00°, β = 60.00°, γ = 60.00°
Element x y z (fractional)
1 As 0.000 0.000 0.000
2 Au 0.750 0.750 0.750
3 Cu 0.250 0.250 0.250
4 Na 0.500 0.500 0.500


(2)
VASP calculation (GGA-PBE) on a relaxed structure of NaCuAsAu.

Its total energy is -3.20 eV/atom. Its polymorph energy (0 for the lowest one) is 0.071 eV/f.u. For the calculated density, the calculation gives 8.67 Mg/m³. The space group is F-43m (216).

a = 4.596 Å, b = 4.596 Å, c = 4.596 Å
α = 60.00°, β = 60.00°, γ = 60.00°
Element x y z (fractional)
1 As 0.250 0.250 0.250
2 Au 0.750 0.750 0.750
3 Cu 0.000 0.000 0.000
4 Na 0.500 0.500 0.500


(3)
VASP calculation (GGA-PBE) on a relaxed structure of NaCuAsAu.

Its total energy is -3.20 eV/atom. Its polymorph energy (0 for the lowest one) is 0.055 eV/f.u. For the calculated density, the calculation gives 8.62 Mg/m³. The space group is F-43m (216).

a = 4.606 Å, b = 4.606 Å, c = 4.606 Å
α = 60.00°, β = 60.00°, γ = 60.00°
Element x y z (fractional)
1 As 0.500 0.500 0.500
2 Au 0.750 0.750 0.750
3 Cu 0.000 0.000 0.000
4 Na 0.250 0.250 0.250


(4)
VASP calculation (GGA-PBE) on a relaxed structure of CuNiAsAu.

The total moment comes out at 0.00 μB per formula unit. Its total energy is -4.11 eV/atom. Its polymorph energy (0 for the lowest one) is 0.470 eV/f.u. For the calculated density, the calculation gives 11.02 Mg/m³. The space group is F-43m (216).

a = 4.380 Å, b = 4.380 Å, c = 4.380 Å
α = 60.00°, β = 60.00°, γ = 60.00°
Element x y z (fractional)
1 As 0.000 0.000 0.000
2 Au 0.250 0.250 0.250
3 Cu 0.750 0.750 0.750
4 Ni 0.500 0.500 0.500


(5)
VASP calculation (GGA-PBE) on a relaxed structure of CuNiAsAu.

The total moment comes out at 0.00 μB per formula unit. Its total energy is -4.23 eV/atom. Its polymorph energy (0 for the lowest one) is 0.000 eV/f.u. For the calculated density, the calculation gives 11.25 Mg/m³. The space group is F-43m (216).

a = 4.349 Å, b = 4.349 Å, c = 4.349 Å
α = 60.00°, β = 60.00°, γ = 60.00°
Element x y z (fractional)
1 As 0.000 0.000 0.000
2 Au 0.500 0.500 0.500
3 Cu 0.750 0.750 0.750
4 Ni 0.250 0.250 0.250


(6)
VASP calculation (GGA-PBE) on a relaxed structure of RbCuAsAu.

Its total energy is -2.62 eV/atom. Its polymorph energy (0 for the lowest one) is 0.365 eV/f.u. For the calculated density, the calculation gives 7.82 Mg/m³. The space group is F-43m (216).

a = 5.019 Å, b = 5.019 Å, c = 5.019 Å
α = 60.00°, β = 60.00°, γ = 60.00°
Element x y z (fractional)
1 As 0.250 0.250 0.250
2 Au 0.750 0.750 0.750
3 Cu 0.000 0.000 0.000
4 Rb 0.500 0.500 0.500